[1]
# Na2Mg3ScF12 PBE-GGA optimized geometry
# Density, Mg/m³: 2.3
# Formation energy without anion corrections, eV/atom: -3.153
# E, eV per atom: -5.165
# Total magnetic moment, μB/cell: 3.5
data_Na2Mg3ScF12
_chemical_formula_sum 'Na6 Mg9 Sc3 F36'
_symmetry_space_group_name_H-M 'R -3 m'
_symmetry_Int_Tables_number 166
_symmetry_space_group_name_Hall '-R 3 2"'
_cell_length_a 7.2189
_cell_length_b 7.2189
_cell_length_c 18.8113
_cell_angle_alpha 90.00
_cell_angle_beta 90.00
_cell_angle_gamma 120.00
loop_
_atom_site_label
_atom_site_fract_x
_atom_site_fract_y
_atom_site_fract_z
Na1 0.0000 0.0000 0.0832
Mg1 0.0000 0.5000 0.0000
Sc1 0.0000 0.0000 0.5000
F1 0.0529 0.5265 0.3581
F2 0.0721 0.5360 0.1035

[2]
# NaMgSeF2 PBE-GGA optimized geometry
# Density, Mg/m³: 3.0
# Formation energy without anion corrections, eV/atom: -1.382
# E, eV per atom: -3.410
# Total magnetic moment, μB/cell: 1.0
data_NaMgSeF2
_chemical_formula_sum 'Na1 Mg1 Se1 F2'
_symmetry_space_group_name_H-M 'P 4/m m m'
_symmetry_Int_Tables_number 123
_symmetry_space_group_name_Hall '-P 4 2'
_cell_length_a 4.118
_cell_length_b 4.118
_cell_length_c 5.339
_cell_angle_alpha 90.00
_cell_angle_beta 90.00
_cell_angle_gamma 90.00
loop_
_atom_site_label
_atom_site_fract_x
_atom_site_fract_y
_atom_site_fract_z
Na1 0.000 0.000 0.000
Mg1 0.500 0.500 0.500
Se1 0.000 0.000 0.500
F1 0.000 0.500 0.000

[3]
# Na2SmMgF8 PBE-GGA optimized geometry
# Density, Mg/m³: 3.9
# Formation energy without anion corrections, eV/atom: -3.113
# E, eV per atom: -5.106
# Total magnetic moment, μB/cell: 1.0
data_Na2SmMgF8
_chemical_formula_sum 'Na2 Sm1 Mg1 F8'
_symmetry_space_group_name_H-M 'P -1'
_symmetry_Int_Tables_number 2
_cell_length_a 4.059
_cell_length_b 5.491
_cell_length_c 7.154
_cell_angle_alpha 92.38
_cell_angle_beta 90.60
_cell_angle_gamma 90.65
loop_
_symmetry_equiv_pos_as_xyz
'x,y,z'
'-x,-y,-z'
loop_
_atom_site_label
_atom_site_fract_x
_atom_site_fract_y
_atom_site_fract_z
Na1 0.007 0.016 0.255
Sm1 0.500 0.500 0.000
Mg1 0.500 0.500 0.500
F1 0.011 0.266 0.998
F2 0.065 0.322 0.522
F3 0.466 0.725 0.730
F4 0.466 0.748 0.274

[4]
# NaMgSnF5 PBE-GGA optimized geometry
# Density, Mg/m³: 3.3
# Formation energy without anion corrections, eV/atom: -2.804
# E, eV per atom: -4.839
# Total magnetic moment, μB/cell: 0.0
data_NaMgSnF5
_chemical_formula_sum 'Na4 Mg4 Sn4 F20'
_symmetry_space_group_name_H-M 'C 1 2/c 1'
_symmetry_Int_Tables_number 15
_cell_length_a 7.316
_cell_length_b 9.676
_cell_length_c 8.035
_cell_angle_alpha 90.00
_cell_angle_beta 114.47
_cell_angle_gamma 90.00
loop_
_symmetry_equiv_pos_as_xyz
'x,y,z'
'-x,-y,-z'
'-x,y,-z+1/2'
'x,-y,z+1/2'
'x+1/2,y+1/2,z'
'-x+1/2,-y+1/2,-z'
'-x+1/2,y+1/2,-z+1/2'
'x+1/2,-y+1/2,z+1/2'
loop_
_atom_site_label
_atom_site_fract_x
_atom_site_fract_y
_atom_site_fract_z
Na1 0.000 0.168 0.250
Mg1 0.000 0.500 0.000
Sn1 0.000 0.194 0.750
F1 0.000 0.472 0.750
F2 0.007 0.290 0.481
F3 0.197 0.013 0.883

[5]
# Na2MgSnF PBE-GGA optimized geometry
# Density, Mg/m³: 3.4
# Formation energy without anion corrections, eV/atom: -1.060
# E, eV per atom: -3.081
# Total magnetic moment, μB/cell: 0.0
data_Na2MgSnF
_chemical_formula_sum 'Na2 Mg1 Sn1 F1'
_symmetry_space_group_name_H-M 'P 4/m m m'
_symmetry_Int_Tables_number 123
_symmetry_space_group_name_Hall '-P 4 2'
_cell_length_a 4.553
_cell_length_b 4.553
_cell_length_c 4.950
_cell_angle_alpha 90.00
_cell_angle_beta 90.00
_cell_angle_gamma 90.00
loop_
_atom_site_label
_atom_site_fract_x
_atom_site_fract_y
_atom_site_fract_z
Na1 0.000 0.500 0.000
Mg1 0.000 0.000 0.500
Sn1 0.500 0.500 0.500
F1 0.000 0.000 0.000

[6]
# Na2SrMgF PBE-GGA optimized geometry
# Density, Mg/m³: 2.1
# Formation energy without anion corrections, eV/atom: -1.019
# E, eV per atom: -2.577
# Total magnetic moment, μB/cell: 0.0
data_Na2SrMgF
_chemical_formula_sum 'Na2 Sr1 Mg1 F1'
_symmetry_space_group_name_H-M 'P 4/m m m'
_symmetry_Int_Tables_number 123
_symmetry_space_group_name_Hall '-P 4 2'
_cell_length_a 5.275
_cell_length_b 5.275
_cell_length_c 4.987
_cell_angle_alpha 90.00
_cell_angle_beta 90.00
_cell_angle_gamma 90.00
loop_
_atom_site_label
_atom_site_fract_x
_atom_site_fract_y
_atom_site_fract_z
Na1 0.000 0.500 0.000
Sr1 0.000 0.000 0.500
Mg1 0.500 0.500 0.500
F1 0.000 0.000 0.000

[7]
# Na2SrMgF6 PBE-GGA optimized geometry
# Density, Mg/m³: 3.2
# Formation energy without anion corrections, eV/atom: -3.296
# E, eV per atom: -5.010
# Total magnetic moment, μB/cell: 0.3
data_Na2SrMgF6
_chemical_formula_sum 'Na4 Sr2 Mg2 F12'
_symmetry_space_group_name_H-M 'P 1 21/c 1'
_symmetry_Int_Tables_number 14
_cell_length_a 5.711
_cell_length_b 5.998
_cell_length_c 9.999
_cell_angle_alpha 90.00
_cell_angle_beta 124.09
_cell_angle_gamma 90.00
loop_
_symmetry_equiv_pos_as_xyz
'x,y,z'
'-x,-y,-z'
'-x,y+1/2,-z+1/2'
'x,-y+1/2,z+1/2'
loop_
_atom_site_label
_atom_site_fract_x
_atom_site_fract_y
_atom_site_fract_z
Na1 0.229 0.043 0.230
Sr1 0.000 0.000 0.500
Mg1 0.500 0.000 0.000
F1 0.157 0.157 0.958
F2 0.260 0.713 0.914
F3 0.395 0.085 0.776

[8]
# NaSr2MgF PBE-GGA optimized geometry
# Density, Mg/m³: 2.7
# Formation energy without anion corrections, eV/atom: -1.058
# E, eV per atom: -2.687
# Total magnetic moment, μB/cell: 0.0
data_NaSr2MgF
_chemical_formula_sum 'Na1 Sr2 Mg1 F1'
_symmetry_space_group_name_H-M 'P 4/m m m'
_symmetry_Int_Tables_number 123
_symmetry_space_group_name_Hall '-P 4 2'
_cell_length_a 5.598
_cell_length_b 5.598
_cell_length_c 4.767
_cell_angle_alpha 90.00
_cell_angle_beta 90.00
_cell_angle_gamma 90.00
loop_
_atom_site_label
_atom_site_fract_x
_atom_site_fract_y
_atom_site_fract_z
Na1 0.000 0.000 0.000
Sr1 0.000 0.500 0.500
Mg1 0.500 0.500 0.000
F1 0.000 0.000 0.500

[9]
# NaTbMgF6 PBE-GGA optimized geometry
# Density, Mg/m³: 4.0
# Formation energy without anion corrections, eV/atom: -3.583
# E, eV per atom: -5.669
# Total magnetic moment, μB/cell: 0.0
data_NaTbMgF6
_chemical_formula_sum 'Na2 Tb2 Mg2 F12'
_symmetry_space_group_name_H-M 'P -3 1 c'
_symmetry_Int_Tables_number 163
_symmetry_space_group_name_Hall '-P 3 2c'
_cell_length_a 5.6690
_cell_length_b 5.6690
_cell_length_c 9.4553
_cell_angle_alpha 90.00
_cell_angle_beta 90.00
_cell_angle_gamma 120.00
loop_
_atom_site_label
_atom_site_fract_x
_atom_site_fract_y
_atom_site_fract_z
Na1 0.0000 0.0000 0.0000
Tb1 0.3333 0.6667 0.2500
Mg1 0.3333 0.6667 0.7500
F1 0.0254 0.3706 0.6365

[10]
# NaMgTcF6 PBE-GGA optimized geometry
# Density, Mg/m³: 3.5
# Formation energy without anion corrections, eV/atom: -2.592
# E, eV per atom: -5.315
# Total magnetic moment, μB/cell: 4.0
data_NaMgTcF6
_chemical_formula_sum 'Na2 Mg2 Tc2 F12'
_symmetry_space_group_name_H-M 'P -3 1 c'
_symmetry_Int_Tables_number 163
_symmetry_space_group_name_Hall '-P 3 2c'
_cell_length_a 5.3877
_cell_length_b 5.3877
_cell_length_c 9.7755
_cell_angle_alpha 90.00
_cell_angle_beta 90.00
_cell_angle_gamma 120.00
loop_
_atom_site_label
_atom_site_fract_x
_atom_site_fract_y
_atom_site_fract_z
Na1 0.0000 0.0000 0.0000
Mg1 0.3333 0.6667 0.2500
Tc1 0.3333 0.6667 0.7500
F1 0.0040 0.3566 0.1413

[11]
# NaMgTiF6 PBE-GGA optimized geometry
# Density, Mg/m³: 2.9
# Formation energy without anion corrections, eV/atom: -3.263
# E, eV per atom: -5.712
# Total magnetic moment, μB/cell: 2.0
data_NaMgTiF6
_chemical_formula_sum 'Na2 Mg2 Ti2 F12'
_symmetry_space_group_name_H-M 'P -3 1 c'
_symmetry_Int_Tables_number 163
_symmetry_space_group_name_Hall '-P 3 2c'
_cell_length_a 5.3693
_cell_length_b 5.3693
_cell_length_c 9.6992
_cell_angle_alpha 90.00
_cell_angle_beta 90.00
_cell_angle_gamma 120.00
loop_
_atom_site_label
_atom_site_fract_x
_atom_site_fract_y
_atom_site_fract_z
Na1 0.0000 0.0000 0.0000
Mg1 0.3333 0.6667 0.2500
Ti1 0.3333 0.6667 0.7500
F1 0.0021 0.3644 0.6427

[12]
# NaMg3Tl4F12 PBE-GGA optimized geometry
# Density, Mg/m³: 6.5
# Formation energy without anion corrections, eV/atom: -2.631
# E, eV per atom: -4.532
# Total magnetic moment, μB/cell: 0.0
data_NaMg3Tl4F12
_chemical_formula_sum 'Na2 Mg6 Tl8 F24'
_symmetry_space_group_name_H-M 'I m -3 m'
_symmetry_Int_Tables_number 229
_symmetry_space_group_name_Hall '-I 4 2 3'
_cell_length_a 8.342
_cell_length_b 8.342
_cell_length_c 8.342
_cell_angle_alpha 90.00
_cell_angle_beta 90.00
_cell_angle_gamma 90.00
loop_
_atom_site_label
_atom_site_fract_x
_atom_site_fract_y
_atom_site_fract_z
Na1 0.000 0.000 0.000
Mg1 0.000 0.000 0.500
Tl1 0.250 0.250 0.250
F1 0.000 0.000 0.268
F2 0.000 0.250 0.500

[13]
# NaMgTlF6 PBE-GGA optimized geometry
# Density, Mg/m³: 4.8
# Formation energy without anion corrections, eV/atom: -2.627
# E, eV per atom: -4.461
# Total magnetic moment, μB/cell: 0.0
data_NaMgTlF6
_chemical_formula_sum 'Na2 Mg2 Tl2 F12'
_symmetry_space_group_name_H-M 'P 42 n m'
_symmetry_Int_Tables_number 102
_cell_length_a 5.037
_cell_length_b 5.037
_cell_length_c 10.058
_cell_angle_alpha 90.00
_cell_angle_beta 90.00
_cell_angle_gamma 90.00
loop_
_symmetry_equiv_pos_as_xyz
'x,y,z'
'-y+1/2,x+1/2,z+1/2'
'-x,-y,z'
'y+1/2,-x+1/2,z+1/2'
'-x+1/2,y+1/2,z+1/2'
'y,x,z'
'x+1/2,-y+1/2,z+1/2'
'-y,-x,z'
loop_
_atom_site_label
_atom_site_fract_x
_atom_site_fract_y
_atom_site_fract_z
Na1 0.000 0.000 0.000
Mg1 0.000 0.000 0.668
Tl1 0.000 0.000 0.332
F1 0.182 0.182 0.511
F2 0.192 0.192 0.816
F3 0.215 0.215 0.174

[14]
# NaMgTl2F8 PBE-GGA optimized geometry
# Density, Mg/m³: 5.1
# Formation energy without anion corrections, eV/atom: -2.211
# E, eV per atom: -4.095
# Total magnetic moment, μB/cell: 1.0
data_NaMgTl2F8
_chemical_formula_sum 'Na2 Mg2 Tl4 F16'
_symmetry_space_group_name_H-M 'I -4 m 2'
_symmetry_Int_Tables_number 119
_symmetry_space_group_name_Hall 'I -4 -2'
_cell_length_a 7.102
_cell_length_b 7.102
_cell_length_c 7.815
_cell_angle_alpha 90.00
_cell_angle_beta 90.00
_cell_angle_gamma 90.00
loop_
_atom_site_label
_atom_site_fract_x
_atom_site_fract_y
_atom_site_fract_z
Na1 0.000 0.000 0.000
Mg1 0.000 0.500 0.250
Tl1 0.000 0.000 0.500
Tl2 0.000 0.500 0.750
F1 0.000 0.225 0.296
F2 0.000 0.312 0.958

[15]
# NaMgTl2F6 PBE-GGA optimized geometry
# Density, Mg/m³: 6.3
# Formation energy without anion corrections, eV/atom: -2.444
# E, eV per atom: -4.331
# Total magnetic moment, μB/cell: 0.0
data_NaMgTl2F6
_chemical_formula_sum 'Na2 Mg2 Tl4 F12'
_symmetry_space_group_name_H-M 'P 1 21/c 1'
_symmetry_Int_Tables_number 14
_cell_length_a 5.922
_cell_length_b 6.073
_cell_length_c 10.252
_cell_angle_alpha 90.00
_cell_angle_beta 125.27
_cell_angle_gamma 90.00
loop_
_symmetry_equiv_pos_as_xyz
'x,y,z'
'-x,-y,-z'
'-x,y+1/2,-z+1/2'
'x,-y+1/2,z+1/2'
loop_
_atom_site_label
_atom_site_fract_x
_atom_site_fract_y
_atom_site_fract_z
Na1 0.000 0.000 0.000
Mg1 0.500 0.000 0.500
Tl1 0.262 0.050 0.750
F1 0.179 0.028 0.268
F2 0.271 0.694 0.043
F3 0.359 0.230 0.050

[16]
# NaMg2Tl3F9 PBE-GGA optimized geometry
# Density, Mg/m³: 6.5
# Formation energy without anion corrections, eV/atom: -2.564
# E, eV per atom: -4.461
# Total magnetic moment, μB/cell: 0.0
data_NaMg2Tl3F9
_chemical_formula_sum 'Na1 Mg2 Tl3 F9'
_symmetry_space_group_name_H-M 'P -3 m 1'
_symmetry_Int_Tables_number 164
_symmetry_space_group_name_Hall '-P 3 2"'
_cell_length_a 5.8780
_cell_length_b 5.8780
_cell_length_c 7.3202
_cell_angle_alpha 90.00
_cell_angle_beta 90.00
_cell_angle_gamma 120.00
loop_
_atom_site_label
_atom_site_fract_x
_atom_site_fract_y
_atom_site_fract_z
Na1 0.0000 0.0000 0.0000
Mg1 0.3333 0.6667 0.6525
Tl1 0.0000 0.0000 0.5000
Tl2 0.3333 0.6667 0.1507
F1 0.0000 0.5000 0.5000
F2 0.1683 0.3365 0.7964

[17]
# NaTmMgF6 PBE-GGA optimized geometry
# Density, Mg/m³: 4.2
# Formation energy without anion corrections, eV/atom: -3.615
# E, eV per atom: -5.683
# Total magnetic moment, μB/cell: 0.0
data_NaTmMgF6
_chemical_formula_sum 'Na2 Tm2 Mg2 F12'
_symmetry_space_group_name_H-M 'P -3 1 c'
_symmetry_Int_Tables_number 163
_symmetry_space_group_name_Hall '-P 3 2c'
_cell_length_a 5.5829
_cell_length_b 5.5829
_cell_length_c 9.5719
_cell_angle_alpha 90.00
_cell_angle_beta 90.00
_cell_angle_gamma 120.00
loop_
_atom_site_label
_atom_site_fract_x
_atom_site_fract_y
_atom_site_fract_z
Na1 0.0000 0.0000 0.0000
Tm1 0.3333 0.6667 0.2500
Mg1 0.3333 0.6667 0.7500
F1 0.0181 0.3689 0.6380

[18]
# Na2TmMg3F12 PBE-GGA optimized geometry
# Density, Mg/m³: 3.6
# Formation energy without anion corrections, eV/atom: -3.194
# E, eV per atom: -5.102
# Total magnetic moment, μB/cell: 3.1
data_Na2TmMg3F12
_chemical_formula_sum 'Na6 Tm3 Mg9 F36'
_symmetry_space_group_name_H-M 'R -3 m'
_symmetry_Int_Tables_number 166
_symmetry_space_group_name_Hall '-R 3 2"'
_cell_length_a 7.3252
_cell_length_b 7.3252
_cell_length_c 15.5275
_cell_angle_alpha 90.00
_cell_angle_beta 90.00
_cell_angle_gamma 120.00
loop_
_atom_site_label
_atom_site_fract_x
_atom_site_fract_y
_atom_site_fract_z
Na1 0.0000 0.0000 0.1263
Tm1 0.0000 0.0000 0.5000
Mg1 0.0000 0.5000 0.0000
F1 0.0285 0.5142 0.8696
F2 0.0893 0.5446 0.3038